Entry 1:
This record from Alexandria describes a relaxed Sr2HoUAs4 crystal. The functional is PBE.

Lattice parameters (Å, degrees): 7.303 4.267 7.521 90.00 108.91 90.00
Space group P2/m (No. 10)
Unique sites:
Sr (0.000, 0.000, 0.000) x1
Sr (0.500, 0.500, 0.000) x1
Ho (0.000, 0.500, 0.500) x1
U (0.500, 0.000, 0.500) x1
As (0.250, 0.000, 0.717) x2
As (0.269, 0.500, 0.285) x2

Summary:
The energy relative to the elements is -9.15 eV per formula unit. The value obtained for the volume is 27.716 A^3/atom.

***

Entry 2:
This record from Alexandria describes a relaxed OsW2Au crystal. The functional is PBE.

Lattice parameters (Å, degrees): 4.746 2.919 4.838 90.00 108.16 90.00
Space group P2/m (No. 10)
Unique sites:
Os (0.000, 0.000, 0.000) x1
W (0.000, 0.500, 0.500) x1
W (0.500, 0.000, 0.500) x1
Au (0.500, 0.500, 0.000) x1

Summary:
The energy relative to the elements is 1.57 eV per formula unit. For the offset from the most stable computed form, the calculation gives 71.9 kJ/mol of formula units. The value obtained for the volume is 15.921 A^3/atom.

***

Entry 3:
This record from Alexandria describes a relaxed ZnRu3 crystal. The functional is PBE.

Lattice parameters (Å, degrees): 5.279 7.851 2.712 90.00 90.00 90.00
Space group Cmmm (No. 65)
Unique sites:
Zn (0.000, 0.000, 0.000) x2
Ru (0.000, 0.500, 0.000) x2
Ru (0.250, 0.250, 0.500) x4

Summary:
The energy relative to the elements is 0.88 eV per formula unit. The value obtained for the volume is 14.049 A^3/atom.

***

Entry 4:
This record from Alexandria describes a relaxed KCd2Te crystal. The functional is PBE.

Lattice parameters (Å, degrees): 13.631 3.690 5.586 90.00 113.92 90.00
Space group C2/m (No. 12)
Unique sites:
K (0.000, 0.000, 0.000) x2
Cd (0.212, 0.000, 0.715) x4
Te (0.000, 0.500, 0.500) x2

Summary:
The value obtained for the total energy is -1.750 eV/atom. The value obtained for the volume is 32.101 A^3/atom.

***

Entry 5:
This record from Alexandria describes a relaxed V3InRh crystal. The functional is PBE.

Lattice parameters (Å, degrees): 4.587 4.587 4.587 90.00 90.00 90.00
Space group Pm-3m (No. 221)
Unique sites:
V (0.000, 0.000, 0.500) x3
In (0.500, 0.500, 0.500) x1
Rh (0.000, 0.000, 0.000) x1

Summary:
The energy relative to the elements is 4.16 eV per formula unit. For the offset from the most stable computed form, the calculation gives 0.0 kJ/mol of formula units. The value obtained for the volume is 19.307 A^3/atom.

***

Among the records above, which one has the highest volume? KCd2Te